[1]
First-principles (GGA-PBE) data for a relaxed LiSc8Bi6 crystal, as listed in Alexandria via LeMat-Bulk.

The structure in POSCAR format:
```
LiSc8Bi6
1.0
-1.955 -2.564 -7.376
0.911 -7.761 -1.936
-7.358 -4.850 -0.757
Li Sc Bi
1 8 6
direct
0.000 0.000 0.000
0.572 0.185 0.368
0.815 0.125 0.632
0.125 0.428 0.632
0.666 0.666 0.002
0.334 0.334 0.998
0.875 0.572 0.368
0.185 0.875 0.368
0.428 0.815 0.632
0.424 0.070 0.787
0.930 0.281 0.213
0.281 0.576 0.213
0.719 0.424 0.787
0.070 0.719 0.787
0.576 0.930 0.213
```

Properties
**Space-group type**: R-3 (148)
**ΔE_f**: -0.39 eV/atom
**Energy**: -81.67 eV for the cell shown

***

[2]
First-principles (GGA-PBE) data for a relaxed Rb2RuO4 crystal, as listed in Alexandria via LeMat-Bulk.

The structure in POSCAR format:
```
Rb2RuO4
1.0
-5.587 3.166 -0.137
-3.999 -7.109 -1.211
-1.021 -1.322 11.136
Rb Ru O
8 4 16
direct
0.750 0.836 0.072
0.250 0.164 0.928
0.750 0.336 0.428
0.250 0.664 0.572
0.750 0.000 0.705
0.250 0.000 0.295
0.750 0.500 0.795
0.250 0.500 0.205
0.750 0.282 0.081
0.250 0.718 0.919
0.750 0.782 0.419
0.250 0.218 0.581
0.750 0.187 0.936
0.250 0.813 0.064
0.750 0.687 0.564
0.250 0.313 0.436
0.750 0.998 0.432
0.250 0.002 0.568
0.750 0.498 0.068
0.250 0.502 0.932
0.979 0.211 0.157
0.479 0.789 0.843
0.521 0.711 0.343
0.021 0.289 0.657
0.021 0.789 0.843
0.521 0.211 0.157
0.479 0.289 0.657
0.979 0.711 0.343
```

Properties
**Space-group type**: Pnma (62)
**Energy**: -161.01 eV for the cell shown

***

[3]
First-principles (GGA-PBE) data for a relaxed Li2ReP crystal, as listed in Alexandria via LeMat-Bulk.

The structure in POSCAR format:
```
Li2ReP
1.0
4.725 0.000 -0.001
-1.969 4.684 -0.006
0.787 0.692 2.444
Li P Re
2 1 1
direct
0.000 0.000 0.000
0.500 0.000 0.500
0.000 0.500 0.500
0.500 0.500 0.000
```

Properties
**Space-group type**: C2/m (12)
**ΔE_f**: -0.03 eV/atom
**Energy**: -21.81 eV for the cell shown

***

[4]
First-principles (GGA-PBE) data for a relaxed Sm2Cu2Pd crystal, as listed in Alexandria via LeMat-Bulk.

The structure in POSCAR format:
```
Sm2Cu2Pd
1.0
4.129 0.000 0.000
2.065 5.215 -0.245
2.065 -0.112 9.944
Sm Cu Pd
4 4 2
direct
0.679 0.297 0.345
0.922 0.272 0.884
0.321 0.703 0.655
0.078 0.728 0.116
0.074 0.294 0.559
0.630 0.847 0.892
0.926 0.706 0.441
0.370 0.153 0.108
0.608 0.110 0.673
0.392 0.890 0.327
```

Properties
**Space-group type**: C2/m (12)
**ΔE_f**: -0.43 eV/atom
**Energy**: -49.92 eV for the cell shown

***

[5]
First-principles (GGA-PBE) data for a relaxed Sr2CoRu crystal, as listed in Alexandria via LeMat-Bulk.

The structure in POSCAR format:
```
Sr2CoRu
1.0
-4.988 0.297 0.633
-1.976 -0.321 4.623
-2.026 4.074 2.162
Co Ru Sr
1 1 2
direct
0.500 0.500 0.500
0.750 0.750 0.750
0.000 0.000 0.000
0.250 0.250 0.250
```

Properties
**Space-group type**: F-43m (216)
**ΔE_f**: 0.79 eV/atom
**Energy**: -16.59 eV for the cell shown

***

[6]
First-principles (GGA-PBE) data for a relaxed CsNa2AgPb crystal, as listed in Alexandria via LeMat-Bulk.

The structure in POSCAR format:
```
CsNa2AgPb
1.0
-5.821 -0.518 1.104
0.159 -5.661 -1.816
1.127 -1.629 5.178
Pb Cs Ag Na
1 1 1 2
direct
0.000 0.000 0.500
0.500 0.500 0.500
0.000 0.000 0.000
0.000 0.500 0.000
0.500 0.000 0.000
```

Properties
**Space-group type**: P4/mmm (123)
**ΔE_f**: 0.00 eV/atom
**Energy**: -10.05 eV for the cell shown